Computed, not measured: crystalline TaCl at its relaxed geometry at the PBE level of DFT.

Computed properties:
* M_tot: 0.00 μB/cell
* symmetry: Cmcm, No. 63
* E_form (uncorrected): -0.44 eV per atom

a = 9.616 Å, b = 9.616 Å, c = 2.977 Å
α = 90.00°, β = 90.00°, γ = 162.19°
Sites, in units of the cell vectors:
Ta: 0.307 0.693 0.250
Ta: 0.693 0.307 0.750
Cl: 0.896 0.104 0.750
Cl: 0.104 0.896 0.250


Computed, not measured: crystalline La4Pm6Tm at its relaxed geometry at the PBE level of DFT.

Computed properties:
* M_tot: 0.00 μB/cell
* symmetry: I-42m, No. 121
* energy relative to the lowest polymorph listed for this composition: 0.018 eV/atom
* calculated formation energy: 25.7 kJ per mole of atoms

a = 9.670 Å, b = 9.670 Å, c = 9.670 Å
α = 60.66°, β = 138.16°, γ = 138.16°
Sites, in units of the cell vectors:
La: 0.624 0.991 0.991
La: 0.000 0.009 0.632
La: 0.376 0.368 0.368
La: 0.000 0.632 0.009
Pm: 0.339 0.556 0.556
Pm: 0.000 0.444 0.782
Pm: 0.500 0.000 0.500
Pm: 0.661 0.218 0.218
Pm: 0.000 0.782 0.444
Pm: 0.500 0.500 0.000
Tm: 0.000 0.000 0.000


Computed, not measured: crystalline KRb6Ag2 at its relaxed geometry at the PBE level of DFT.

Computed properties:
* M_tot: 0.00 μB/cell
* symmetry: Immm, No. 71
* calculated formation energy: 4.2 kJ per mole of atoms

a = 11.374 Å, b = 11.374 Å, c = 11.374 Å
α = 106.81°, β = 110.08°, γ = 111.56°
Sites, in units of the cell vectors:
Rb: 0.771 0.770 0.540
Rb: 0.480 0.301 0.180
Rb: 0.771 0.230 0.001
Rb: 0.121 0.301 0.820
Rb: 0.311 0.987 0.676
Rb: 0.879 0.699 0.180
Rb: 0.229 0.770 0.999
Rb: 0.229 0.230 0.460
Rb: 0.689 0.366 0.676
Rb: 0.689 0.013 0.324
Rb: 0.311 0.634 0.324
Rb: 0.520 0.699 0.820
Ag: 0.613 0.000 0.613
Ag: 0.500 0.394 0.894
Ag: 0.500 0.606 0.106
Ag: 0.387 0.000 0.387
K: 0.000 0.500 0.500
K: 0.000 0.000 0.000


Computed, not measured: crystalline NbW2 at its relaxed geometry at the PBE level of DFT.

Computed properties:
* M_tot: 0.00 μB/cell
* symmetry: C2/m, No. 12
* calculated formation energy: -6.5 kJ per mole of atoms

a = 5.332 Å, b = 4.549 Å, c = 5.354 Å
α = 115.31°, β = 84.78°, γ = 148.44°
Sites, in units of the cell vectors:
Nb: 0.000 0.000 0.500
W: 0.670 0.337 0.833
W: 0.330 0.663 0.167


Computed, not measured: crystalline KY4Pb at its relaxed geometry at the PBE level of DFT.

Computed properties:
* M_tot: 0.00 μB/cell
* symmetry: F-43m, No. 216
* calculated formation energy: 33.2 kJ per mole of atoms

a = 6.706 Å, b = 6.706 Å, c = 6.706 Å
α = 60.00°, β = 60.00°, γ = 60.00°
Sites, in units of the cell vectors:
Y: 0.374 0.879 0.374
Y: 0.374 0.374 0.879
Y: 0.374 0.374 0.374
Y: 0.879 0.374 0.374
K: 0.750 0.750 0.750
Pb: 0.000 0.000 0.000


Computed, not measured: crystalline LiScAl2 at its relaxed geometry at the PBE level of DFT.

Computed properties:
* M_tot: 0.00 μB/cell
* symmetry: Pmm2, No. 25
* calculated formation energy: -29.7 kJ per mole of atoms

a = 4.484 Å, b = 3.565 Å, c = 4.485 Å
α = 90.00°, β = 90.00°, γ = 90.00°
Sites, in units of the cell vectors:
Li: 0.000 0.625 0.376
Sc: 0.500 0.625 0.874
Al: 0.500 0.125 0.374
Al: 0.000 0.125 0.876


Computed, not measured: crystalline Tb3PmRu4 at its relaxed geometry at the PBE level of DFT.

Computed properties:
* M_tot: 0.00 μB/cell
* symmetry: R-3m, No. 166
* calculated formation energy: -23.4 kJ per mole of atoms

a = 4.850 Å, b = 4.850 Å, c = 8.406 Å
α = 73.24°, β = 73.24°, γ = 60.00°
Sites, in units of the cell vectors:
Tb: 0.751 0.751 0.747
Tb: 0.249 0.249 0.253
Tb: 0.500 0.500 0.500
Ru: 0.624 0.624 0.127
Ru: 0.874 0.874 0.377
Ru: 0.376 0.376 0.873
Ru: 0.126 0.126 0.623
Pm: 0.000 0.000 0.000


Computed, not measured: crystalline K2SnWI at its relaxed geometry at the PBE level of DFT.

Computed properties:
* M_tot: 4.41 μB/cell
* symmetry: P4/mmm, No. 123
* E_form (uncorrected): 1.14 eV per atom

a = 6.893 Å, b = 5.095 Å, c = 6.893 Å
α = 90.00°, β = 90.00°, γ = 90.00°
Each line ends with the local moment (μB).
Sites, in units of the cell vectors:
K: 0.000 0.000 0.500  0.02
K: 0.500 0.000 0.000  0.03
W: 0.000 0.000 0.000  1.79
Sn: 0.500 0.500 0.500  0.58
I: 0.000 0.500 0.000  0.00


Computed, not measured: crystalline Fe2Ru3 at its relaxed geometry at the PBE level of DFT.

Computed properties:
* M_tot: 4.25 μB/cell
* symmetry: R-3m, No. 166
* calculated formation energy: 17.6 kJ per mole of atoms

a = 10.805 Å, b = 10.805 Å, c = 10.805 Å
α = 14.17°, β = 14.17°, γ = 14.17°
Each line ends with the local moment (μB).
Sites, in units of the cell vectors:
Fe: 0.400 0.400 0.400  2.25
Fe: 0.600 0.600 0.600  2.25
Ru: 0.201 0.201 0.201  -0.12
Ru: 0.799 0.799 0.799  -0.12
Ru: 0.000 0.000 0.000  -0.02


Computed, not measured: crystalline KFeCoSb2 at its relaxed geometry at the PBE level of DFT.

Computed properties:
* M_tot: 3.00 μB/cell
* symmetry: P4/mmm, No. 123
* E_form (uncorrected): 0.79 eV per atom

a = 4.886 Å, b = 5.446 Å, c = 4.886 Å
α = 90.00°, β = 90.00°, γ = 90.00°
Each line ends with the local moment (μB).
Sites, in units of the cell vectors:
Sb: 0.500 0.000 0.000  -0.03
Sb: 0.000 0.000 0.500  -0.01
K: 0.000 0.500 0.000  0.01
Fe: 0.500 0.500 0.500  3.21
Co: 0.000 0.000 0.000  -0.32


Computed, not measured: crystalline CePm2HoAs4 at its relaxed geometry at the PBE level of DFT.

Computed properties:
* M_tot: 0.52 μB/cell
* symmetry: P2/m, No. 10
* calculated formation energy: -145.0 kJ per mole of atoms

a = 4.197 Å, b = 7.258 Å, c = 7.272 Å
α = 109.40°, β = 90.00°, γ = 90.00°
Each line ends with the local moment (μB).
Sites, in units of the cell vectors:
Pm: 0.500 0.000 0.500  0.01
Pm: 0.000 0.500 0.500  0.01
As: 0.000 0.250 0.756  -0.01
As: 0.000 0.750 0.244  -0.01
As: 0.500 0.754 0.758  -0.01
As: 0.500 0.246 0.242  -0.01
Ce: 0.500 0.500 0.000  0.48
Ho: 0.000 0.000 0.000  0.00


Computed, not measured: crystalline TmSc3Ga at its relaxed geometry at the PBE level of DFT.

Computed properties:
* M_tot: 1.96 μB/cell
* symmetry: Pnma, No. 62
* calculated formation energy: -22.7 kJ per mole of atoms

a = 3.436 Å, b = 10.009 Å, c = 13.844 Å
α = 90.00°, β = 90.00°, γ = 90.00°
Each line ends with the local moment (μB).
Sites, in units of the cell vectors:
Sc: 0.250 0.377 0.742  0.04
Sc: 0.750 0.123 0.242  0.04
Sc: 0.250 0.372 0.318  0.08
Sc: 0.250 0.872 0.182  0.08
Sc: 0.750 0.628 0.682  0.08
Sc: 0.750 0.128 0.818  0.08
Sc: 0.750 0.623 0.258  0.04
Sc: 0.250 0.596 0.069  0.07
Sc: 0.750 0.404 0.931  0.07
Sc: 0.250 0.096 0.431  0.07
Sc: 0.250 0.877 0.758  0.04
Sc: 0.750 0.904 0.569  0.07
Ga: 0.250 0.123 0.639  0.00
Ga: 0.750 0.377 0.139  0.00
Ga: 0.250 0.623 0.861  0.00
Ga: 0.750 0.877 0.361  0.00
Tm: 0.750 0.848 0.966  0.11
Tm: 0.250 0.152 0.034  0.11
Tm: 0.750 0.348 0.534  0.11
Tm: 0.250 0.652 0.466  0.11


Computed, not measured: crystalline YAg3 at its relaxed geometry at the PBE level of DFT.

Computed properties:
* M_tot: 0.00 μB/cell
* symmetry: Pm-3n, No. 223
* calculated formation energy: -22.5 kJ per mole of atoms

a = 5.489 Å, b = 5.489 Å, c = 5.489 Å
α = 90.00°, β = 90.00°, γ = 90.00°
Sites, in units of the cell vectors:
Y: 0.000 0.000 0.000
Y: 0.500 0.500 0.500
Ag: 0.500 0.000 0.750
Ag: 0.000 0.250 0.500
Ag: 0.250 0.500 0.000
Ag: 0.000 0.750 0.500
Ag: 0.500 0.000 0.250
Ag: 0.750 0.500 0.000


Computed, not measured: crystalline Hg2RhCl at its relaxed geometry at the PBE level of DFT.

Computed properties:
* M_tot: 0.00 μB/cell
* symmetry: Cmmm, No. 65
* energy relative to the lowest polymorph listed for this composition: 0.040 eV/atom
* E_form (uncorrected): 0.04 eV per atom

a = 3.275 Å, b = 3.275 Å, c = 7.617 Å
α = 90.00°, β = 90.00°, γ = 90.16°
Sites, in units of the cell vectors:
Rh: 0.500 0.500 0.250
Cl: 0.500 0.500 0.750
Hg: 0.000 0.000 0.468
Hg: 0.000 0.000 0.032


Computed, not measured: crystalline LiNpSn2Se4 at its relaxed geometry at the PBE level of DFT.

Computed properties:
* M_tot: 4.00 μB/cell
* symmetry: P2/m, No. 10
* E_form (uncorrected): -0.75 eV per atom

a = 4.194 Å, b = 7.404 Å, c = 7.138 Å
α = 71.31°, β = 90.00°, γ = 90.00°
Each line ends with the local moment (μB).
Sites, in units of the cell vectors:
Se: 0.000 0.734 0.755  -0.03
Se: 0.500 0.731 0.255  -0.05
Se: 0.500 0.269 0.745  -0.05
Se: 0.000 0.266 0.245  -0.03
Sn: 0.500 0.000 0.500  0.01
Sn: 0.000 0.000 0.000  0.01
Li: 0.500 0.500 0.000  0.00
Np: 0.000 0.500 0.500  3.92


Computed, not measured: crystalline AlGa2Ni5B2 at its relaxed geometry at the PBE level of DFT.

Computed properties:
* M_tot: 0.00 μB/cell
* symmetry: P4/mbm, No. 127
* calculated formation energy: -24.6 kJ per mole of atoms

a = 2.905 Å, b = 8.631 Å, c = 8.631 Å
α = 90.00°, β = 90.00°, γ = 90.00°
Sites, in units of the cell vectors:
Ga: 0.000 0.823 0.677
Ga: 0.000 0.677 0.177
Ga: 0.000 0.323 0.823
Ga: 0.000 0.177 0.323
Ni: 0.500 0.070 0.781
Ni: 0.500 0.930 0.219
Ni: 0.500 0.719 0.430
Ni: 0.500 0.281 0.570
Ni: 0.500 0.219 0.070
Ni: 0.500 0.781 0.930
Ni: 0.500 0.000 0.500
Ni: 0.500 0.570 0.719
Ni: 0.500 0.430 0.281
Ni: 0.500 0.500 0.000
Al: 0.000 0.000 0.000
Al: 0.000 0.500 0.500
B: 0.000 0.123 0.623
B: 0.000 0.877 0.377
B: 0.000 0.377 0.123
B: 0.000 0.623 0.877


Computed, not measured: crystalline PrDy2Th6 at its relaxed geometry at the PBE level of DFT.

Computed properties:
* M_tot: 0.00 μB/cell
* symmetry: P-6m2, No. 187
* calculated formation energy: 8.6 kJ per mole of atoms

a = 3.545 Å, b = 3.545 Å, c = 27.120 Å
α = 90.00°, β = 90.00°, γ = 120.00°
Sites, in units of the cell vectors:
Th: 0.667 0.333 0.222
Th: 0.333 0.667 0.886
Th: 0.333 0.667 0.114
Th: 0.667 0.333 0.439
Th: 0.667 0.333 0.561
Th: 0.667 0.333 0.778
Dy: 0.333 0.667 0.331
Dy: 0.333 0.667 0.669
Pr: 0.667 0.333 0.000


Computed, not measured: crystalline TbNd3Sm2Dy6 at its relaxed geometry at the PBE level of DFT.

Computed properties:
* M_tot: 0.00 μB/cell
* symmetry: C2/m, No. 12
* calculated formation energy: 1.3 kJ per mole of atoms

a = 6.230 Å, b = 6.230 Å, c = 11.853 Å
α = 95.01°, β = 95.01°, γ = 119.99°
Sites, in units of the cell vectors:
Sm: 0.666 0.334 0.000
Sm: 0.334 0.666 0.000
Dy: 0.250 0.250 0.752
Dy: 0.917 0.584 0.752
Dy: 0.750 0.750 0.248
Dy: 0.083 0.416 0.248
Dy: 0.416 0.083 0.248
Dy: 0.584 0.917 0.752
Nd: 0.500 0.500 0.500
Nd: 0.167 0.833 0.500
Nd: 0.833 0.167 0.500
Tb: 0.000 0.000 0.000


Computed, not measured: crystalline Rb4DyNp3Te8 at its relaxed geometry at the PBE level of DFT.

Computed properties:
* M_tot: 12.00 μB/cell
* symmetry: C2/m, No. 12
* E_form (uncorrected): -1.00 eV per atom

a = 9.182 Å, b = 10.029 Å, c = 9.176 Å
α = 117.18°, β = 120.02°, γ = 90.00°
Each line ends with the local moment (μB).
Sites, in units of the cell vectors:
Te: 0.231 0.700 0.968  -0.05
Te: 0.231 0.700 0.463  -0.05
Te: 0.769 0.300 0.537  -0.05
Te: 0.267 0.301 0.534  -0.08
Te: 0.263 0.300 0.032  -0.05
Te: 0.733 0.699 0.466  -0.08
Te: 0.737 0.700 0.968  -0.05
Te: 0.769 0.300 0.032  -0.05
Rb: 0.500 0.000 0.000  0.00
Rb: 0.000 0.000 0.000  0.00
Rb: 0.500 0.000 0.500  0.00
Rb: 0.000 0.000 0.500  0.00
Dy: 0.000 0.500 0.000  0.04
Np: 0.000 0.500 0.500  4.01
Np: 0.500 0.500 0.000  4.01
Np: 0.500 0.500 0.500  4.01


Computed, not measured: crystalline Li3Al2Cd at its relaxed geometry at the PBE level of DFT.

Computed properties:
* M_tot: 0.00 μB/cell
* symmetry: P2_1/m, No. 11
* calculated formation energy: -17.5 kJ per mole of atoms

a = 4.497 Å, b = 6.540 Å, c = 7.004 Å
α = 103.16°, β = 90.00°, γ = 90.00°
Sites, in units of the cell vectors:
Li: 0.750 0.628 0.497
Li: 0.250 0.372 0.503
Li: 0.750 0.797 0.155
Li: 0.250 0.203 0.845
Li: 0.750 0.959 0.817
Li: 0.250 0.041 0.183
Cd: 0.750 0.289 0.166
Cd: 0.250 0.711 0.834
Al: 0.250 0.556 0.175
Al: 0.750 0.119 0.495
Al: 0.750 0.444 0.825
Al: 0.250 0.881 0.505


Computed, not measured: crystalline EuAl2Cd at its relaxed geometry at the PBE level of DFT.

Computed properties:
* M_tot: 7.05 μB/cell
* symmetry: P4/mmm, No. 123
* energy relative to the lowest polymorph listed for this composition: 0.000 eV/atom
* calculated formation energy: -14.3 kJ per mole of atoms

a = 4.398 Å, b = 4.534 Å, c = 4.534 Å
α = 90.00°, β = 90.00°, γ = 90.00°
Each line ends with the local moment (μB).
Sites, in units of the cell vectors:
Al: 0.000 0.500 0.000  0.00
Al: 0.000 0.000 0.500  0.00
Cd: 0.500 0.000 0.000  0.01
Eu: 0.500 0.500 0.500  6.75


Computed, not measured: crystalline Dy2GaH at its relaxed geometry at the PBE level of DFT.

Computed properties:
* M_tot: 0.00 μB/cell
* symmetry: Immm, No. 71
* energy relative to the lowest polymorph listed for this composition: 0.000 eV/atom

a = 3.640 Å, b = 6.421 Å, c = 7.973 Å
α = 113.72°, β = 103.20°, γ = 90.02°
Sites, in units of the cell vectors:
Dy: 0.634 0.083 0.843
Dy: 0.330 0.530 0.235
Dy: 0.330 0.030 0.236
Dy: 0.026 0.476 0.628
H: 0.225 0.173 0.023
H: 0.436 0.386 0.448
Ga: 0.692 0.641 0.959
Ga: 0.969 0.918 0.512


Computed, not measured: crystalline Ca3Zn at its relaxed geometry at the PBE level of DFT.

Computed properties:
* M_tot: 0.00 μB/cell
* symmetry: C2/m, No. 12
* energy relative to the lowest polymorph listed for this composition: 0.078 eV/atom
* calculated formation energy: -4.7 kJ per mole of atoms

a = 6.917 Å, b = 6.917 Å, c = 6.619 Å
α = 87.10°, β = 87.10°, γ = 114.40°
Sites, in units of the cell vectors:
Ca: 0.178 0.530 0.764
Ca: 0.209 0.209 0.316
Ca: 0.822 0.470 0.236
Ca: 0.470 0.822 0.236
Ca: 0.791 0.791 0.684
Ca: 0.530 0.178 0.764
Zn: 0.887 0.113 0.000
Zn: 0.113 0.887 0.000


Computed, not measured: crystalline Re2AgW at its relaxed geometry at the PBE level of DFT.

Computed properties:
* M_tot: 0.00 μB/cell
* symmetry: C2/m, No. 12
* energy relative to the lowest polymorph listed for this composition: 0.188 eV/atom
* calculated formation energy: 48.1 kJ per mole of atoms

a = 4.871 Å, b = 4.871 Å, c = 4.873 Å
α = 79.49°, β = 79.49°, γ = 33.81°
Sites, in units of the cell vectors:
W: 0.250 0.250 0.250
Re: 0.508 0.508 0.490
Re: 0.992 0.992 0.010
Ag: 0.750 0.750 0.750